Computed, not measured: crystalline BaYNb2 at its relaxed geometry at the PBE-GGA level of DFT.

Cell: 7.4031 7.4031 7.4031 Å, 90.00 90.00 90.00°
Space group F-43m (No. 216)
Inequivalent atoms, fractional coordinates:
Ba  0.0000  0.0000  0.0000
Y  0.2500  0.2500  0.7500
Nb  0.0000  0.0000  0.5000
Nb  0.2500  0.2500  0.2500

Summary:
Total energy (eV per atom): -6.27

Computed, not measured: crystalline BaYNb at its relaxed geometry at the PBE-GGA level of DFT.

Cell: 7.3630 7.3630 7.3630 Å, 90.00 90.00 90.00°
Space group F-43m (No. 216)
Inequivalent atoms, fractional coordinates:
Ba  0.0000  0.0000  0.0000
Y  0.2500  0.2500  0.2500
Nb  0.2500  0.2500  0.7500

Summary:
Total energy (eV per atom): -4.54
Energy above the most stable polymorph in this dataset (meV/atom): 479.9

Computed, not measured: crystalline BaYNb at its relaxed geometry at the PBE-GGA level of DFT.

Cell: 7.6195 7.6195 7.6195 Å, 90.00 90.00 90.00°
Space group F-43m (No. 216)
Inequivalent atoms, fractional coordinates:
Ba  0.0000  0.0000  0.0000
Y  0.0000  0.0000  0.5000
Nb  0.2500  0.2500  0.7500

Summary:
Total energy (eV per atom): -5.02
Energy above the most stable polymorph in this dataset (meV/atom): 0.0

Computed, not measured: crystalline BaNbZn at its relaxed geometry at the PBE-GGA level of DFT.

Cell: 7.6687 7.6687 7.6687 Å, 90.00 90.00 90.00°
Space group F-43m (No. 216)
Inequivalent atoms, fractional coordinates:
Ba  0.0000  0.0000  0.0000
Nb  0.2500  0.2500  0.7500
Zn  0.2500  0.2500  0.2500

Summary:
Total energy (eV per atom): -2.87
Energy above the most stable polymorph in this dataset (meV/atom): 393.9

Question: The lowest total energy belongs to which entry?
Answer: BaYNb2

Repeat the second record exactly.
Computed, not measured: crystalline BaYNb at its relaxed geometry at the PBE-GGA level of DFT.

Cell: 7.3630 7.3630 7.3630 Å, 90.00 90.00 90.00°
Space group F-43m (No. 216)
Inequivalent atoms, fractional coordinates:
Ba  0.0000  0.0000  0.0000
Y  0.2500  0.2500  0.2500
Nb  0.2500  0.2500  0.7500

Summary:
Total energy (eV per atom): -4.54
Energy above the most stable polymorph in this dataset (meV/atom): 479.9

Question: Among the records above, which one has the lowest total energy?
Answer: BaYNb2

Question: What is the formula in the fourth record?
Answer: BaNbZn